Record 1
A geometry-optimized Th2NiTe structure, computed with PBE.

The structure in extended XYZ format:
```
4
Lattice="-3.962 -1.073 -0.210 -1.319 -2.401 -3.064 -0.293 -7.412 3.178" Properties=species:S:1:pos:R:3 pbc="T T T"
Th -1.465 -2.416 -0.232
Th -0.586 -6.160 2.323
Ni -3.817 -9.713 0.985
Te -2.785 -5.451 -0.043
```

Calculated values
As for the energy above the most stable polymorph in this dataset: 0.0236 eV per atom. The value obtained for the uncorrected formation energy is -703 meV per atom.

Record 2
A geometry-optimized Th5Ni2Te2 structure, computed with PBE.

The structure in extended XYZ format:
```
18
Lattice="8.055 0.000 2.924 0.000 7.270 0.000 1.336 0.000 8.877" Properties=species:S:1:pos:R:3 pbc="T T T"
Te 6.939 0.000 5.997
Te 2.912 3.635 4.535
Te 6.479 3.635 7.265
Te 2.451 0.000 5.803
Ni 4.870 1.038 1.768
Ni 7.212 4.673 2.618
Ni 3.185 6.232 1.156
Ni 0.842 2.597 0.306
Th 4.800 6.184 3.776
Th 0.773 4.721 2.314
Th 7.441 6.184 9.059
Th 0.000 0.000 0.000
Th 4.027 3.635 1.462
Th 4.590 1.086 8.024
Th 3.413 4.721 7.597
Th 1.950 1.086 2.741
Th 5.977 2.549 4.203
Th 8.617 2.549 9.486
```

Calculated values
The value obtained for the uncorrected formation energy is -598 meV per atom.

Record 3
A geometry-optimized Th2Tl3NiTe6 structure, computed with PBE.

The structure in extended XYZ format:
```
12
Lattice="-1.510 -1.721 7.242 -2.910 -4.243 -5.587 8.179 -2.847 -0.333" Properties=species:S:1:pos:R:3 pbc="T T T"
Te 3.287 -6.551 2.983
Te 0.472 -2.261 -1.661
Te -1.557 -5.131 1.179
Te 0.899 -1.492 2.249
Te 2.861 -7.320 -0.927
Te 5.317 -3.681 0.144
Th -2.440 -3.397 -1.283
Th -1.979 -2.567 2.938
Tl 1.880 -4.406 0.661
Tl 2.326 -3.601 4.754
Tl 1.433 -5.211 -3.431
Ni 0.000 0.000 0.000
```

Calculated values
The value obtained for the uncorrected formation energy is -625 meV per atom.

Record 4
A geometry-optimized ThTlNiTe3 structure, computed with PBE.

The structure in extended XYZ format:
```
12
Lattice="-2.414 -1.342 3.272 -6.442 -3.993 -6.391 7.046 -6.859 2.384" Properties=species:S:1:pos:R:3 pbc="T T T"
Te -3.553 -3.976 -0.050
Te 4.872 -6.651 2.266
Te -6.682 -5.542 -3.001
Te 1.743 -8.218 -0.685
Te 0.639 -5.180 2.548
Te -2.449 -7.014 -3.284
Tl -0.269 -2.730 0.082
Tl -1.541 -9.463 -0.817
Ni -4.838 -7.308 -2.365
Ni 3.028 -4.886 1.630
Th -3.873 -4.252 -3.201
Th 2.063 -7.942 2.466
```

Calculated values
The value obtained for the uncorrected formation energy is -683 meV per atom.

Record 5
A geometry-optimized Ti2NiTe structure, computed with PBE.

The structure in extended XYZ format:
```
8
Lattice="7.123 0.000 0.000 0.000 7.123 0.000 3.561 3.561 2.765" Properties=species:S:1:pos:R:3 pbc="T T T"
Te 0.000 0.000 0.000
Te 7.123 3.561 1.382
Ti 5.087 1.781 0.691
Ti 2.036 5.342 0.691
Ti 8.904 8.648 2.073
Ti 5.342 5.598 2.073
Ni 3.561 3.561 0.000
Ni 3.561 7.123 1.382
```

Calculated values
The value obtained for the uncorrected formation energy is -127 meV per atom.

Record 6
A geometry-optimized TiNiTe structure, computed with PBE.

The structure in extended XYZ format:
```
6
Lattice="-2.483 -0.349 3.381 4.110 -0.859 0.309 1.472 7.729 1.879" Properties=species:S:1:pos:R:3 pbc="T T T"
Ti 0.560 3.921 3.436
Ti 2.539 2.600 2.133
Ni 2.589 3.842 4.918
Ni 0.511 2.678 0.651
Te 3.075 5.414 2.817
Te 0.024 1.106 2.752
```

Calculated values
The value obtained for the uncorrected formation energy is -488 meV per atom.

Record 7
A geometry-optimized TiNi2Te structure, computed with PBE.

The structure in extended XYZ format:
```
8
Lattice="-3.138 -1.921 1.370 -0.486 -1.705 -3.503 3.239 -8.308 1.394" Properties=species:S:1:pos:R:3 pbc="T T T"
Ni -1.151 -3.453 0.740
Ni 0.053 -3.420 -1.643
Ni 1.061 -7.624 0.178
Ni -0.732 -9.370 -0.752
Ti -1.812 -1.813 -1.066
Ti 0.470 -5.913 -1.587
Te -0.856 -6.021 0.849
Te 0.000 0.000 0.000
```

Calculated values
The value obtained for the uncorrected formation energy is 40 meV per atom.

Record 8
A geometry-optimized Ti2Ni9Te structure, computed with PBE.

The structure in extended XYZ format:
```
12
Lattice="3.654 0.000 0.000 0.000 3.654 0.000 0.000 0.000 11.019" Properties=species:S:1:pos:R:3 pbc="T T T"
Ti 0.000 0.000 7.288
Ti 0.000 0.000 3.731
Ni 0.000 1.827 9.046
Ni 1.827 1.827 3.728
Ni 1.827 0.000 5.509
Ni 1.827 0.000 9.046
Ni 0.000 1.827 5.509
Ni 1.827 0.000 1.973
Ni 1.827 1.827 7.291
Ni 1.827 1.827 0.000
Ni 0.000 1.827 1.973
Te 0.000 0.000 0.000
```

Calculated values
The value obtained for the uncorrected formation energy is -307 meV per atom.

Record 9
A geometry-optimized Ti3NiTe6 structure, computed with PBE.

The structure in extended XYZ format:
```
20
Lattice="-7.302 -0.778 -3.272 2.754 -5.437 -5.244 -1.793 -6.003 5.038" Properties=species:S:1:pos:R:3 pbc="T T T"
Te -5.704 -6.705 -2.183
Te -6.863 -3.133 -2.038
Te -0.638 -5.512 -1.295
Te 0.521 -9.084 -1.440
Te -6.433 -6.370 1.706
Te 0.090 -5.847 -5.184
Te -3.283 -8.440 -0.504
Te -1.617 -7.183 2.621
Te -3.467 -4.510 0.340
Te -4.725 -5.035 -6.099
Te -3.059 -3.778 -2.974
Te -2.875 -7.708 -3.818
Ti -0.944 -4.697 1.516
Ti -0.144 -3.720 -3.375
Ti -1.946 -10.071 -2.330
Ti -4.396 -2.147 -1.147
Ti -6.198 -8.498 -0.103
Ti -5.399 -7.520 -4.994
Ni -3.171 -6.109 -1.739
Ni 0.000 0.000 0.000
```

Calculated values
The value obtained for the uncorrected formation energy is -406 meV per atom.

Record 10
A geometry-optimized TiNiTe structure, computed with PBE.

The structure in extended XYZ format:
```
6
Lattice="3.998 0.000 0.000 0.000 3.106 0.000 0.000 1.553 9.840" Properties=species:S:1:pos:R:3 pbc="T T T"
Te 2.998 1.553 3.149
Te 0.999 3.106 6.691
Ti 0.999 3.106 1.368
Ti 2.998 1.553 8.472
Ni 2.998 1.553 0.640
Ni 0.999 3.106 9.200
```

Calculated values
The value obtained for the uncorrected formation energy is -462 meV per atom.